Version A
A plane-wave DFT calculation with PBE-GGA was carried out for InCu2C after structural relaxation.

Cell lengths 6.0225, 6.0225, 6.0225 Å; angles 90.00, 90.00, 90.00 degrees
With the nearest neighbours (Å) after each atom.
Atoms (fractional coordinates):
In 0.0000 0.0000 0.0000  8 Cu 2.61
In 0.0000 0.5000 0.5000  8 Cu 2.61
In 0.5000 0.0000 0.5000  8 Cu 2.61
In 0.5000 0.5000 0.0000  8 Cu 2.61
Cu 0.2500 0.2500 0.2500  4 In 2.61, 4 C 2.61
Cu 0.2500 0.2500 0.7500  4 In 2.61, 4 C 2.61
Cu 0.2500 0.7500 0.2500  4 In 2.61, 4 C 2.61
Cu 0.2500 0.7500 0.7500  4 In 2.61, 4 C 2.61
Cu 0.7500 0.2500 0.2500  4 In 2.61, 4 C 2.61
Cu 0.7500 0.2500 0.7500  4 In 2.61, 4 C 2.61
Cu 0.7500 0.7500 0.2500  4 In 2.61, 4 C 2.61
Cu 0.7500 0.7500 0.7500  4 C 2.61, 4 In 2.61
C 0.0000 0.0000 0.5000  8 Cu 2.61
C 0.0000 0.5000 0.0000  8 Cu 2.61
C 0.5000 0.0000 0.0000  8 Cu 2.61
C 0.5000 0.5000 0.5000  8 Cu 2.61

Summary:
SG: Fm-3m
D(E_F) in states/eV per cell: 15.21

---

Version B
A plane-wave DFT calculation with PBE-GGA was carried out for InCu2C after structural relaxation.

Cell lengths 4.6243, 4.6243, 12.0509 Å; angles 90.00, 90.00, 90.00 degrees
With the nearest neighbours (Å) after each atom.
Atoms (fractional coordinates):
In 0.0000 0.0000 0.0000  4 Cu 2.73
In 0.0000 0.5000 0.2500  4 Cu 2.73
In 0.5000 0.0000 0.7500  4 Cu 2.73
In 0.5000 0.5000 0.5000  4 Cu 2.73
Cu 0.0747 0.2500 0.6250  2 C 1.93
Cu 0.2500 0.5747 0.8750  2 C 1.93
Cu 0.2500 0.9253 0.3750  2 C 1.93
Cu 0.4253 0.2500 0.1250  2 C 1.93
Cu 0.5747 0.7500 0.1250  2 C 1.93
Cu 0.7500 0.0747 0.3750  2 C 1.93
Cu 0.7500 0.4253 0.8750  2 C 1.93
Cu 0.9253 0.7500 0.6250  2 C 1.93
C 0.0000 0.0000 0.5000  4 Cu 1.93
C 0.0000 0.5000 0.7500  4 Cu 1.93
C 0.5000 0.0000 0.2500  4 Cu 1.93
C 0.5000 0.5000 0.0000  4 Cu 1.93

Summary:
SG: I-42d
D(E_F) in states/eV per cell: 11.49

---

Looking at the structures above, version B is most stable, and the difference to the next one is 542 meV/atom.